1.
Here is an optimized crystal structure of CsCa3In from Alexandria. Energies are from PBE.

E above lowest polymorph: 987.7 meV per atom
total moment: 0.0 μB/cell
E_form: 0.99 eV/atom
SG: Pm-3m, No. 221

POSCAR file:
```
CsCa3In
1.0
-0.024 -1.585 5.591
4.804 -3.151 -0.872
3.269 4.618 1.323
In Ca Cs
1 3 1
Direct
0.500 0.500 0.500
0.000 0.500 0.000
0.000 0.000 0.500
0.500 0.000 0.000
0.000 0.000 0.000
```

---

2.
Here is an optimized crystal structure of Cs2ZrZnI6 from Alexandria. Energies are from PBE.

total moment: 0.0 μB/cell
E_form (uncorrected): -0.99 eV per atom
SG: Fm-3m, No. 225

POSCAR file:
```
Cs2ZrZnI6
1.0
8.870 0.000 0.000
0.000 8.870 0.000
4.435 4.435 6.271
Zr I Cs Zn
1 6 2 1
Direct
0.000 0.000 0.000
0.769 0.231 0.000
0.769 0.769 0.462
0.231 0.231 0.538
0.231 0.769 0.000
0.769 0.769 0.000
0.231 0.231 0.000
0.250 0.750 0.500
0.750 0.250 0.500
0.500 0.500 0.000
```

---

3.
Here is an optimized crystal structure of Pm2Dy2Rh3 from Alexandria. Energies are from PBE.

E above lowest polymorph: 0.0 meV per atom
total moment: 0.0 μB/cell
E_form: -0.71 eV/atom
SG: I2_13, No. 199

POSCAR file:
```
Pm2Dy2Rh3
1.0
-4.619 -1.528 -5.746
1.763 -6.390 3.571
-3.422 4.691 4.793
Rh Dy Pm
6 4 4
Direct
0.250 0.842 0.092
0.908 0.250 0.658
0.342 0.092 0.750
0.592 0.750 0.842
0.158 0.408 0.250
0.750 0.658 0.408
0.388 0.500 0.000
0.112 0.612 0.612
0.500 0.888 0.500
0.000 0.000 0.888
0.627 0.127 0.127
0.873 0.500 0.000
0.500 0.373 0.500
0.000 0.000 0.373
```

---

4.
Here is an optimized crystal structure of Cu2SiNi from Alexandria. Energies are from PBE.

total moment: 0.0 μB/cell
E_form (uncorrected): 0.15 eV per atom
SG: I-42d, No. 122

POSCAR file:
```
Cu2SiNi
1.0
6.605 0.000 0.000
0.000 6.605 0.000
3.303 3.303 2.356
Ni Cu Si
2 4 2
Direct
0.750 0.250 0.500
0.000 0.000 0.000
0.875 0.863 0.750
0.613 0.125 0.250
0.375 0.387 0.750
0.137 0.625 0.250
0.250 0.750 0.500
0.500 0.500 0.000
```

---

Here are the calculated N(E_F) numbers, same order: 4.74, 0.00, 3.44, 1.16 (states/eV/f.u.).